[1]
Here is a geometry-optimized Sn2PRhCl structure from Alexandria via LeMat-Bulk. Energies are from GGA-PBE.

Geometry as POSCAR:
```
Sn2PRhCl
1.0
5.3683 0.0000 0.0000
0.0000 4.4070 0.0000
0.0000 0.0000 5.3683
P Rh Cl Sn
1 1 1 2
direct
0.0000 0.5000 0.0000
0.0000 0.0000 0.0000
0.5000 0.5000 0.5000
0.0000 0.0000 0.5000
0.5000 0.0000 0.0000
```

Calculated values
Size of the total moment, μB/f.u.: 0.0
Crystal system: tetragonal
Space group: P4/mmm, No. 123
Energy relative to the elements, uncorrected, eV per atom: -0.11


[2]
Here is a geometry-optimized SrDy4Ga4 structure from Alexandria via LeMat-Bulk. Energies are from GGA-PBE.

Geometry as POSCAR:
```
SrDy4Ga4
1.0
5.9024 0.0000 0.0000
0.0000 9.5054 0.0000
0.0000 0.0000 9.5054
Ga Dy Sr
8 8 2
direct
0.3846 0.3470 0.2093
0.1154 0.1530 0.2907
0.8846 0.7093 0.1530
0.8846 0.2907 0.8470
0.3846 0.6530 0.7907
0.6154 0.2093 0.6530
0.1154 0.8470 0.7093
0.6154 0.7907 0.3470
0.8827 0.6002 0.8428
0.6173 0.1002 0.3428
0.3827 0.6572 0.1002
0.3827 0.3428 0.8998
0.1173 0.1572 0.6002
0.1173 0.8428 0.3998
0.8827 0.3998 0.1572
0.6173 0.8998 0.6572
0.0000 0.0000 0.0000
0.5000 0.5000 0.5000
```

Calculated values
Size of the total moment, μB/f.u.: 0.0
Formation energy, eV per atom: -0.342
Crystal system: tetragonal
Space group: P4_2/n, No. 86


[3]
Here is a geometry-optimized CsSiP2S structure from Alexandria via LeMat-Bulk. Energies are from GGA-PBE.

Geometry as POSCAR:
```
CsSiP2S
1.0
5.6334 0.0000 0.0000
0.0000 5.6334 0.0000
0.0000 0.0000 5.2743
P Si S Cs
2 1 1 1
direct
0.5000 0.0000 0.0000
0.0000 0.5000 0.0000
0.5000 0.5000 0.5000
0.0000 0.0000 0.5000
0.0000 0.0000 0.0000
```

Calculated values
Size of the total moment, μB/f.u.: 1.5
Crystal system: tetragonal
Space group: P4/mmm, No. 123
Energy relative to the elements, uncorrected, eV per atom: 2.12
Offset from the most stable computed form, eV/f.u.: 9.05


[4]
Here is a geometry-optimized In3Hg7Pb2 structure from Alexandria via LeMat-Bulk. Energies are from GGA-PBE.

Geometry as POSCAR:
```
In3Hg7Pb2
1.0
-2.0180 -0.0883 2.7373
0.9065 -5.6143 0.4872
14.4588 -1.2028 10.6206
Hg In Pb
7 3 2
direct
0.0000 0.0000 0.0000
0.5000 0.0620 0.8372
0.0000 0.5580 0.8458
0.5000 0.2687 0.4746
0.5000 0.9380 0.1628
0.5000 0.7313 0.5254
0.0000 0.4420 0.1542
0.0000 0.6273 0.6779
0.5000 0.5000 0.0000
0.0000 0.3727 0.3221
0.5000 0.8561 0.3433
0.5000 0.1439 0.6567
```

Calculated values
Size of the total moment, μB/f.u.: 0.0
Formation energy, eV per atom: 0.022
Crystal system: monoclinic
Space group: P2/m, No. 10
Offset from the most stable computed form, eV/f.u.: 0.00


[5]
Here is a geometry-optimized BeSi3Sn structure from Alexandria via LeMat-Bulk. Energies are from GGA-PBE.

Geometry as POSCAR:
```
BeSi3Sn
1.0
-1.5007 0.1282 -4.8974
3.6518 -3.3851 -1.2077
-3.2657 -3.8441 0.9001
Si Be Sn
3 1 1
direct
0.0000 0.5000 0.0000
0.0000 0.0000 0.5000
0.5000 0.0000 0.0000
0.5000 0.5000 0.5000
0.0000 0.0000 0.0000
```

Calculated values
Size of the total moment, μB/f.u.: 0.0
Crystal system: cubic
Space group: Pm-3m, No. 221
Energy relative to the elements, uncorrected, eV per atom: 1.76
Offset from the most stable computed form, eV/f.u.: 5.63


[6]
Here is a geometry-optimized YMg2Ni2 structure from Alexandria via LeMat-Bulk. Energies are from GGA-PBE.

Geometry as POSCAR:
```
YMg2Ni2
1.0
3.9991 0.0000 0.0000
0.0000 3.9991 0.0000
1.9995 1.9995 5.7953
Ni Mg Y
2 2 1
direct
0.5987 0.5987 0.8026
0.4013 0.4013 0.1974
0.7500 0.2500 0.5000
0.2500 0.7500 0.5000
0.0000 0.0000 0.0000
```

Calculated values
Size of the total moment, μB/f.u.: 0.0
Formation energy, eV per atom: -0.221
Crystal system: tetragonal
Space group: I4/mmm, No. 139
Offset from the most stable computed form, eV/f.u.: 0.00